CoNiF2 | PBE with a Hubbard U | optimized geometry

Output
E above lowest polymorph, eV/f.u.: 0.00
Crystal system: trigonal
Calculated density, g/cm3: 4.978

Cell lengths 7.1921, 7.1921, 7.1921 Å; angles 23.49, 23.49, 23.49 degrees
Positions (direct):
Ni 0.0000 0.0000 0.0000
Co 0.5000 0.5000 0.5000
F 0.8916 0.8916 0.8916
F 0.1084 0.1084 0.1084